# 1
Density functional theory data (GGA-PBE) for CeEr3S4 after structural relaxation.

a b c (Å): 3.881 6.776 6.776
angles (deg): 109.19 90.00 90.00
Element x y z (fractional)
S  0.500  0.745  0.255
S  0.500  0.255  0.745
S  0.000  0.740  0.740
S  0.000  0.260  0.260
Er  0.500  0.500  0.500
Er  0.000  0.000  0.500
Er  0.000  0.500  0.000
Ce  0.500  0.000  0.000

Calculated values
Total energy = -6.4968 eV/atom
Uncorrected formation energy = -1980 meV per atom
Total moment = 0.7 μB per formula unit

# 2
Density functional theory data (GGA-PBE) for CeErS4 after structural relaxation.

a b c (Å): 4.395 4.395 7.149
angles (deg): 90.00 90.00 90.00
Element x y z (fractional)
S  0.500  0.000  0.248
S  0.000  0.500  0.752
S  0.000  0.500  0.248
S  0.500  0.000  0.752
Ce  0.000  0.000  0.500
Er  0.000  0.000  0.000

Calculated values
E above lowest polymorph = 42.5 meV/atom
Total energy = -5.9363 eV/atom
Uncorrected formation energy = -1435 meV per atom
Total moment = 0.1 μB per formula unit

# 3
Density functional theory data (GGA-PBE) for Ce6ErS12 after structural relaxation.

a b c (Å): 8.017 8.017 8.017
angles (deg): 99.63 99.63 99.63
Element x y z (fractional)
Ce  0.619  0.135  0.300
Ce  0.381  0.865  0.700
Ce  0.300  0.619  0.135
Ce  0.700  0.381  0.865
Ce  0.865  0.700  0.381
Ce  0.135  0.300  0.619
S  0.935  0.677  0.053
S  0.823  0.418  0.567
S  0.323  0.947  0.065
S  0.177  0.582  0.433
S  0.418  0.567  0.823
S  0.582  0.433  0.177
S  0.433  0.177  0.582
S  0.053  0.935  0.677
S  0.677  0.053  0.935
S  0.065  0.323  0.947
S  0.947  0.065  0.323
S  0.567  0.823  0.418
Er  0.000  0.000  0.000

Calculated values
Total energy = -6.6494 eV/atom
Uncorrected formation energy = -1929 meV per atom
Total moment = 3.1 μB per formula unit

# 4
Density functional theory data (GGA-PBE) for Ce3Er5S8 after structural relaxation.

a b c (Å): 7.820 7.820 7.873
angles (deg): 60.23 60.23 60.00
Element x y z (fractional)
Ce  0.000  0.000  0.500
Ce  0.500  0.000  0.500
Ce  0.000  0.500  0.500
S  0.750  0.750  0.240
S  0.250  0.740  0.760
S  0.250  0.250  0.760
S  0.255  0.255  0.235
S  0.750  0.260  0.240
S  0.740  0.250  0.760
S  0.260  0.750  0.240
S  0.745  0.745  0.765
Er  0.000  0.000  0.000
Er  0.000  0.500  0.000
Er  0.500  0.500  0.500
Er  0.500  0.500  0.000
Er  0.500  0.000  0.000

Calculated values
Total energy = -6.5992 eV/atom
Uncorrected formation energy = -1997 meV per atom
Total moment = 1.6 μB per formula unit

# 5
Density functional theory data (GGA-PBE) for CeErS3 after structural relaxation.

a b c (Å): 3.966 7.366 15.211
angles (deg): 90.00 90.00 90.00
Element x y z (fractional)
S  0.250  0.512  0.105
S  0.750  0.488  0.895
S  0.250  0.650  0.717
S  0.250  0.150  0.783
S  0.750  0.626  0.437
S  0.750  0.126  0.063
S  0.250  0.874  0.937
S  0.750  0.988  0.605
S  0.250  0.012  0.395
S  0.750  0.850  0.217
S  0.750  0.350  0.283
S  0.250  0.374  0.563
Er  0.250  0.768  0.543
Er  0.750  0.232  0.457
Er  0.250  0.268  0.957
Er  0.750  0.732  0.043
Ce  0.750  0.861  0.798
Ce  0.250  0.639  0.298
Ce  0.250  0.139  0.202
Ce  0.750  0.361  0.702

Calculated values
E above lowest polymorph = 0.0 meV/atom
Total energy = -6.6224 eV/atom
Uncorrected formation energy = -2047 meV per atom
Total moment = 0.9 μB per formula unit

# 6
Density functional theory data (GGA-PBE) for Ce2ErScS6 after structural relaxation.

a b c (Å): 6.951 6.951 7.242
angles (deg): 61.32 61.32 60.00
Element x y z (fractional)
Ce  0.609  0.609  0.174
Ce  0.107  0.107  0.678
S  0.677  0.040  0.845
S  0.040  0.438  0.845
S  0.438  0.677  0.845
S  0.945  0.527  0.338
S  0.527  0.190  0.338
S  0.190  0.945  0.338
Sc  0.313  0.313  0.061
Er  0.815  0.815  0.554

Calculated values
Total energy = -6.6962 eV/atom
Uncorrected formation energy = -1944 meV per atom
Total moment = 2.0 μB per formula unit

# 7
Density functional theory data (GGA-PBE) for CeEr2ScS6 after structural relaxation.

a b c (Å): 6.847 6.847 7.274
angles (deg): 61.92 61.92 60.00
Element x y z (fractional)
Sc  0.320  0.320  0.039
Er  0.519  0.519  0.442
Er  0.013  0.013  0.962
S  0.223  0.932  0.247
S  0.396  0.714  0.755
S  0.932  0.598  0.247
S  0.714  0.135  0.755
S  0.598  0.223  0.247
S  0.135  0.396  0.755
Ce  0.811  0.811  0.568

Calculated values
Total energy = -6.5780 eV/atom
Uncorrected formation energy = -1962 meV per atom
Total moment = 1.0 μB per formula unit

# 8
Density functional theory data (GGA-PBE) for Ce3ErSc2S6 after structural relaxation.

a b c (Å): 6.671 6.671 6.851
angles (deg): 99.36 99.36 120.03
Element x y z (fractional)
Sc  0.333  0.667  0.000
Sc  0.667  0.333  0.000
S  0.416  0.076  0.227
S  0.734  0.734  0.225
S  0.924  0.584  0.773
S  0.076  0.416  0.227
S  0.266  0.266  0.775
S  0.584  0.924  0.773
Ce  0.836  0.164  0.500
Ce  0.500  0.500  0.500
Ce  0.164  0.836  0.500
Er  0.000  0.000  0.000

Calculated values
Total energy = -6.9480 eV/atom
Uncorrected formation energy = -1965 meV per atom
Total moment = 2.4 μB per formula unit

# 9
Density functional theory data (GGA-PBE) for Ce2Er3ScS6 after structural relaxation.

a b c (Å): 3.878 7.837 8.713
angles (deg): 103.31 102.86 90.00
Element x y z (fractional)
S  0.663  0.072  0.326
S  0.004  0.760  0.008
S  0.337  0.408  0.674
S  0.337  0.928  0.674
S  0.663  0.592  0.326
S  0.996  0.240  0.992
Er  0.168  0.833  0.336
Er  0.832  0.167  0.664
Er  0.500  0.500  0.000
Ce  0.167  0.335  0.333
Ce  0.833  0.665  0.667
Sc  0.500  0.000  0.000

Calculated values
Total energy = -6.6820 eV/atom
Uncorrected formation energy = -1961 meV per atom
Total moment = 1.6 μB per formula unit

# 10
Density functional theory data (GGA-PBE) for CeErSc2S6 after structural relaxation.

a b c (Å): 6.760 6.760 7.109
angles (deg): 61.61 61.61 60.00
Element x y z (fractional)
Ce  0.806  0.806  0.583
S  0.894  0.628  0.241
S  0.238  0.894  0.241
S  0.150  0.371  0.742
S  0.737  0.150  0.742
S  0.371  0.737  0.742
S  0.628  0.238  0.241
Er  0.314  0.314  0.058
Sc  0.010  0.010  0.969
Sc  0.514  0.514  0.457

Calculated values
Total energy = -6.7207 eV/atom
Uncorrected formation energy = -1928 meV per atom
Total moment = 1.0 μB per formula unit

# 11
Density functional theory data (GGA-PBE) for CeErSc2S4 after structural relaxation.

a b c (Å): 3.796 6.636 6.621
angles (deg): 70.83 90.00 90.00
Element x y z (fractional)
S  0.500  0.767  0.251
S  0.000  0.772  0.736
S  0.500  0.233  0.749
S  0.000  0.228  0.264
Sc  0.500  0.000  0.500
Sc  0.000  0.000  0.000
Er  0.000  0.500  0.500
Ce  0.500  0.500  0.000

Calculated values
Total energy = -6.8809 eV/atom
Uncorrected formation energy = -1922 meV per atom
Total moment = 0.6 μB per formula unit

# 12
Density functional theory data (GGA-PBE) for Ce2ErScS4 after structural relaxation.

a b c (Å): 3.864 6.700 6.874
angles (deg): 108.93 90.00 90.00
Element x y z (fractional)
S  0.500  0.236  0.227
S  0.000  0.750  0.230
S  0.500  0.764  0.773
S  0.000  0.250  0.770
Er  0.500  0.500  0.000
Sc  0.000  0.000  0.000
Ce  0.000  0.500  0.500
Ce  0.500  0.000  0.500

Calculated values
Total energy = -6.8839 eV/atom
Uncorrected formation energy = -1975 meV per atom
Total moment = 1.6 μB per formula unit

# 13
Density functional theory data (GGA-PBE) for CeErScS3 after structural relaxation.

a b c (Å): 3.762 8.179 9.333
angles (deg): 97.86 90.00 90.00
Element x y z (fractional)
Ce  0.750  0.852  0.816
Ce  0.250  0.148  0.184
S  0.250  0.814  0.573
S  0.750  0.414  0.159
S  0.250  0.119  0.871
S  0.750  0.186  0.427
S  0.750  0.881  0.129
S  0.250  0.586  0.841
Sc  0.750  0.867  0.406
Sc  0.250  0.133  0.594
Er  0.250  0.643  0.129
Er  0.750  0.357  0.871

Calculated values
Total energy = -6.6218 eV/atom
Uncorrected formation energy = -1753 meV per atom
Total moment = 0.8 μB per formula unit

# 14
Density functional theory data (GGA-PBE) for CeEr2Sc3S6 after structural relaxation.

a b c (Å): 3.796 7.645 8.502
angles (deg): 102.86 102.90 90.00
Element x y z (fractional)
Sc  0.500  0.500  0.000
Sc  0.836  0.163  0.671
Sc  0.164  0.837  0.329
S  0.335  0.410  0.669
S  0.674  0.080  0.348
S  0.003  0.732  0.005
S  0.665  0.590  0.331
S  0.997  0.268  0.995
S  0.326  0.920  0.652
Er  0.165  0.330  0.330
Er  0.835  0.670  0.670
Ce  0.500  0.000  0.000

Calculated values
Total energy = -6.8197 eV/atom
Uncorrected formation energy = -1918 meV per atom
Total moment = 0.7 μB per formula unit

# 15
Density functional theory data (GGA-PBE) for Ce3Er2ScS6 after structural relaxation.

a b c (Å): 6.726 6.726 6.895
angles (deg): 99.38 99.38 120.03
Element x y z (fractional)
Sc  0.000  0.000  0.000
Ce  0.500  0.500  0.500
Ce  0.169  0.831  0.500
Ce  0.831  0.169  0.500
Er  0.666  0.334  0.000
Er  0.334  0.666  0.000
S  0.403  0.076  0.230
S  0.249  0.249  0.768
S  0.924  0.597  0.770
S  0.597  0.924  0.770
S  0.076  0.403  0.230
S  0.751  0.751  0.232

Calculated values
Total energy = -6.8238 eV/atom
Uncorrected formation energy = -1989 meV per atom
Total moment = 2.4 μB per formula unit

# 16
Density functional theory data (GGA-PBE) for CeEr2ScS4 after structural relaxation.

a b c (Å): 3.850 6.722 6.700
angles (deg): 109.22 90.00 90.00
Element x y z (fractional)
Ce  0.500  0.500  0.000
S  0.500  0.238  0.247
S  0.000  0.763  0.256
S  0.500  0.762  0.753
S  0.000  0.237  0.744
Er  0.500  0.000  0.500
Er  0.000  0.500  0.500
Sc  0.000  0.000  0.000

Calculated values
Total energy = -6.6751 eV/atom
Uncorrected formation energy = -1938 meV per atom
Total moment = 0.6 μB per formula unit

# 17
Density functional theory data (GGA-PBE) for Ce4Er3ScS8 after structural relaxation.

a b c (Å): 7.788 7.911 7.788
angles (deg): 119.49 120.00 90.00
Element x y z (fractional)
Ce  0.500  0.000  0.000
Ce  0.000  0.000  0.000
Ce  0.000  0.000  0.500
Ce  0.500  0.000  0.500
Er  0.500  0.500  0.000
Er  0.500  0.500  0.500
Er  0.000  0.500  0.500
S  0.241  0.731  0.990
S  0.759  0.269  0.519
S  0.745  0.735  0.490
S  0.759  0.269  0.010
S  0.255  0.265  0.510
S  0.750  0.731  0.990
S  0.241  0.731  0.481
S  0.250  0.269  0.010
Sc  0.000  0.500  0.000

Calculated values
Total energy = -6.7921 eV/atom
Uncorrected formation energy = -1994 meV per atom
Total moment = 2.7 μB per formula unit

# 18
Density functional theory data (GGA-PBE) for CeErSeS2 after structural relaxation.

a b c (Å): 6.211 6.214 7.419
angles (deg): 114.76 90.00 90.00
Element x y z (fractional)
Ce  0.750  0.377  0.754
Ce  0.250  0.623  0.246
Se  0.750  0.750  0.500
Se  0.250  0.250  0.500
S  0.500  0.252  0.000
S  0.500  0.748  0.000
S  0.000  0.252  0.000
S  0.000  0.748  0.000
Er  0.250  0.896  0.791
Er  0.750  0.104  0.209

Calculated values
Total energy = -6.0090 eV/atom
Uncorrected formation energy = -1562 meV per atom
Total moment = 1.0 μB per formula unit

# 19
Density functional theory data (GGA-PBE) for CeErSeS after structural relaxation.

a b c (Å): 3.992 3.992 7.117
angles (deg): 73.71 73.71 60.00
Element x y z (fractional)
Se  0.495  0.495  0.515
Ce  0.256  0.256  0.232
S  0.006  0.006  0.983
Er  0.743  0.743  0.770

Calculated values
Total energy = -6.4225 eV/atom
Uncorrected formation energy = -1895 meV per atom
Total moment = 1.0 μB per formula unit

# 20
Density functional theory data (GGA-PBE) for CeErSe2S after structural relaxation.

a b c (Å): 4.180 4.180 14.399
angles (deg): 90.00 90.00 90.00
Element x y z (fractional)
Se  0.000  0.500  0.099
Se  0.500  0.000  0.293
Se  0.500  0.000  0.901
Se  0.000  0.500  0.707
Ce  0.500  0.000  0.623
Ce  0.000  0.500  0.377
S  0.500  0.500  0.500
S  0.000  0.000  0.500
Er  0.000  0.500  0.896
Er  0.500  0.000  0.104

Calculated values
Total energy = -6.0676 eV/atom
Uncorrected formation energy = -1749 meV per atom
Total moment = 0.6 μB per formula unit